# HoGaIr2

An optimized crystal structure of HoGaIr2 (GGA-PBE, Alexandria).

Unit cell a=4.3178 b=4.3178 c=3.6229 alpha=90.00 beta=90.00 gamma=90.00
Space group P4/mmm (No. 123)
Symmetry-distinct sites (fractional):
Ho  0.0000  0.0000  0.0000 x1
Ga  0.5000  0.5000  0.0000 x1
Ir  0.0000  0.5000  0.5000 x2

Computed properties:
As for the total energy: -27.8 eV per cell.